Density functional theory data (PBE) for TbNd3Dy2S6 after structural relaxation.

The structure belongs to space group C2/m (No. 12); the cell edges are 6.864, 11.929 and 6.975 Å and the angles 90.00°, 109.21° and 90.00°. The inequivalent atoms are Tb at (0.000, 0.000, 0.000), Nd at (0.000, 0.166, 0.500), Nd at (0.000, 0.500, 0.500), Dy at (0.000, 0.333, 0.000), S at (0.244, 0.500, 0.235) and S at (0.246, 0.167, 0.235).

As for the crystal system: monoclinic. The value obtained for the raw total energy is -154.3 eV per cell. The total moment comes out at 0.00 μB/f.u.